(1)
Below is crystalline Pm8Pb4Se3N at its relaxed geometry, with properties calculated at the PBE level.

Computed properties:
The electronic total energy is -5.53 eV/atom. The value obtained for the formation energy (no corrections) is -1057 meV per atom.

```
data_Pm8Pb4Se3N
_cell_length_a 14.039
_cell_length_b 8.111
_cell_length_c 9.211
_cell_angle_alpha 90.00
_cell_angle_beta 120.58
_cell_angle_gamma 90.00
_symmetry_space_group_name_H-M 'C 1 2/m 1'
_symmetry_Int_Tables_number 12
_symmetry_space_group_name_Hall '-C 2y'
loop_
_atom_site_label
_atom_site_fract_x
_atom_site_fract_y
_atom_site_fract_z
Pm1 0.011 0.226 0.307
Pm2 0.215 0.000 0.693
Pm3 0.239 0.500 0.716
Pb1 0.000 0.000 0.000
Pb2 0.000 0.500 0.000
Pb3 0.250 0.250 0.000
Se1 0.000 0.500 0.500
Se2 0.250 0.250 0.500
N1 0.000 0.000 0.500
```

(2)
Below is crystalline Pm2SmPbN at its relaxed geometry, with properties calculated at the PBE level.

Computed properties:
The electronic total energy is -6.16 eV/atom. The value obtained for the formation energy (no corrections) is -909 meV per atom.

```
data_Pm2SmPbN
_cell_length_a 4.993
_cell_length_b 4.993
_cell_length_c 4.960
_cell_angle_alpha 90.00
_cell_angle_beta 90.00
_cell_angle_gamma 90.00
_symmetry_space_group_name_H-M 'P 4/m m m'
_symmetry_Int_Tables_number 123
_symmetry_space_group_name_Hall '-P 4 2'
loop_
_atom_site_label
_atom_site_fract_x
_atom_site_fract_y
_atom_site_fract_z
Pm1 0.000 0.500 0.000
Sm1 0.000 0.000 0.500
Pb1 0.500 0.500 0.500
N1 0.000 0.000 0.000
```

(3)
Below is crystalline TbPm2PbN at its relaxed geometry, with properties calculated at the PBE level.

Computed properties:
The electronic total energy is -6.15 eV/atom. The value obtained for the formation energy (no corrections) is -919 meV per atom.

```
data_TbPm2PbN
_cell_length_a 5.001
_cell_length_b 5.001
_cell_length_c 4.847
_cell_angle_alpha 90.00
_cell_angle_beta 90.00
_cell_angle_gamma 90.00
_symmetry_space_group_name_H-M 'P 4/m m m'
_symmetry_Int_Tables_number 123
_symmetry_space_group_name_Hall '-P 4 2'
loop_
_atom_site_label
_atom_site_fract_x
_atom_site_fract_y
_atom_site_fract_z
Tb1 0.000 0.000 0.000
Pm1 0.000 0.500 0.500
Pb1 0.500 0.500 0.000
N1 0.000 0.000 0.500
```

(4)
Below is crystalline Tb2PmPbN at its relaxed geometry, with properties calculated at the PBE level.

Computed properties:
The electronic total energy is -6.14 eV/atom. The value obtained for the formation energy (no corrections) is -935 meV per atom.

```
data_Tb2PmPbN
_cell_length_a 4.855
_cell_length_b 4.855
_cell_length_c 5.001
_cell_angle_alpha 90.00
_cell_angle_beta 90.00
_cell_angle_gamma 90.00
_symmetry_space_group_name_H-M 'P 4/m m m'
_symmetry_Int_Tables_number 123
_symmetry_space_group_name_Hall '-P 4 2'
loop_
_atom_site_label
_atom_site_fract_x
_atom_site_fract_y
_atom_site_fract_z
Tb1 0.000 0.500 0.000
Pm1 0.000 0.000 0.500
Pb1 0.500 0.500 0.500
N1 0.000 0.000 0.000
```